[1]
The following is a DFT calculation (PBE) of Na2TlAs2 after structural relaxation.

**Space-group type**: P4/mbm
**Excess energy over the best structure of this formula in the dataset**: 65 kJ/mol of formula units

Cell: 9.0376 9.0376 2.9735 Å, 90.00 90.00 90.00°
Closest atoms and distances in Å follow each position.
Element x y z (fractional)
As 0.8284 0.3284 0.5000  2 As 2.97, 6 Na 2.99-3.09
As 0.3284 0.1716 0.5000  2 As 2.97, 6 Na 2.99-3.09
Na 0.1251 0.3749 0.0000  3 Na 2.97-3.20, 6 As 2.99-3.09
As 0.6716 0.8284 0.5000  2 As 2.97, 6 Na 2.99-3.09
Tl 0.0000 0.0000 0.0000  2 Tl 2.97
Na 0.3749 0.8749 0.0000  3 Na 2.97-3.20, 6 As 2.99-3.09
Tl 0.5000 0.5000 0.0000  2 Tl 2.97
As 0.1716 0.6716 0.5000  2 As 2.97, 6 Na 2.99-3.09
Na 0.8749 0.6251 0.0000  3 Na 2.97-3.20, 6 As 2.99-3.09
Na 0.6251 0.1251 0.0000  3 Na 2.97-3.20, 6 As 2.99-3.09

---

[2]
The following is a DFT calculation (PBE) of Cu2Ag2Sb after structural relaxation.

**Formation energy (no corrections)**: 0.250 eV/atom
**Space-group type**: I4/mmm
**Excess energy over the best structure of this formula in the dataset**: 56 kJ/mol of formula units

Cell: 3.4052 3.4052 8.4260 Å, 78.34 78.34 90.00°
Closest atoms and distances in Å follow each position.
Element x y z (fractional)
Ag 0.3826 0.3826 0.2348  4 Cu 2.74
Cu 0.2500 0.7500 0.5000  4 Cu 2.41
Ag 0.6174 0.6174 0.7652  4 Cu 2.74
Sb 0.0000 0.0000 0.0000  8 Ag 3.06, 4 Sb 3.41
Cu 0.7500 0.2500 0.5000  4 Cu 2.41

---

[3]
The following is a DFT calculation (PBE) of RbNa2CdPd after structural relaxation.

**Space-group type**: P4/mmm

Cell: 5.6081 5.6081 5.4039 Å, 90.00 90.00 90.00°
Closest atoms and distances in Å follow each position.
Element x y z (fractional)
Na 0.0000 0.5000 0.0000  2 Pd 2.80
Rb 0.5000 0.5000 0.5000  8 Na 3.89, 4 Cd 3.97
Pd 0.0000 0.0000 0.0000  2 Cd 2.70, 4 Na 2.80
Cd 0.0000 0.0000 0.5000  2 Pd 2.70
Na 0.5000 0.0000 0.0000  2 Pd 2.80

---

[4]
The following is a DFT calculation (PBE) of Ac5DyIr4 after structural relaxation.

**Space-group type**: Pmmn
**Excess energy over the best structure of this formula in the dataset**: 80 kJ/mol of formula units

Cell: 7.3273 10.0823 9.0518 Å, 90.00 90.00 90.00°
Closest atoms and distances in Å follow each position.
Element x y z (fractional)
Ac 0.2560 0.6955 0.2439  4 Ir 2.98-3.32
Ac 0.2049 0.0000 0.5000  4 Ir 2.90-2.97
Ac 0.7951 0.5000 0.0000  4 Ir 2.90-2.97
Ac 0.7440 0.1955 0.2561  4 Ir 2.98-3.32
Ac 0.2560 0.3045 0.7561  4 Ir 2.98-3.32
Ir 0.5711 0.5000 0.2648  1 Dy 2.78, 3 Ac 2.90-3.04
Ir 0.4289 0.0000 0.2352  1 Dy 2.78, 3 Ac 2.90-3.04
Ac 0.7440 0.8045 0.7439  4 Ir 2.98-3.32
Ir 0.4289 0.0000 0.7648  1 Dy 2.78, 3 Ac 2.90-3.04
Ir 0.0034 0.2561 0.5000  1 Dy 2.82, 5 Ac 2.97-3.01
Ir 0.9966 0.2439 0.0000  1 Dy 2.82, 5 Ac 2.97-3.01
Ir 0.5711 0.5000 0.7352  1 Dy 2.78, 3 Ac 2.90-3.04
Dy 0.1845 0.0000 0.0000  4 Ir 2.78-2.82
Ac 0.2560 0.3045 0.2439  4 Ir 2.98-3.32
Ir 0.9966 0.7561 0.0000  1 Dy 2.82, 5 Ac 2.97-3.01
Ac 0.7440 0.8045 0.2561  4 Ir 2.98-3.32
Dy 0.8155 0.5000 0.5000  4 Ir 2.78-2.82
Ac 0.7440 0.1955 0.7439  4 Ir 2.98-3.32
Ir 0.0034 0.7439 0.5000  1 Dy 2.82, 5 Ac 2.97-3.01
Ac 0.2560 0.6955 0.7561  4 Ir 2.98-3.32

---

[5]
The following is a DFT calculation (PBE) of Ca3Ac2UAs6 after structural relaxation.

**Space-group type**: C2/m

Cell: 7.5809 7.5809 7.3672 Å, 100.04 100.04 119.93°
Closest atoms and distances in Å follow each position.
Element x y z (fractional)
Ca 0.8296 0.1704 0.5000  6 As 3.01-3.24
Ca 0.5000 0.5000 0.5000  6 As 3.00-3.34
Ac 0.3337 0.6663 0.0000  6 As 3.12-3.15
As 0.2192 0.2192 0.7632  1 U 2.80, 2 Ca 3.05, 2 Ac 3.12
As 0.6164 0.9193 0.7571  1 U 2.84, 2 Ca 3.00-3.01, 2 Ac 3.14-3.15
U 0.0000 0.0000 0.0000  6 As 2.80-2.84
As 0.7808 0.7808 0.2368  1 U 2.80, 2 Ca 3.05, 2 Ac 3.12
As 0.9193 0.6164 0.7571  1 U 2.84, 2 Ca 3.00-3.01, 2 Ac 3.14-3.15
As 0.3836 0.0807 0.2429  1 U 2.84, 2 Ca 3.00-3.01, 2 Ac 3.14-3.15
Ac 0.6663 0.3337 0.0000  6 As 3.12-3.15
Ca 0.1704 0.8296 0.5000  6 As 3.01-3.24
As 0.0807 0.3836 0.2429  1 U 2.84, 2 Ca 3.00-3.01, 2 Ac 3.14-3.15

---

[6]
The following is a DFT calculation (PBE) of SrHgTe after structural relaxation.

**Formation energy (no corrections)**: -0.958 eV/atom
**Space-group type**: F-43m
**Excess energy over the best structure of this formula in the dataset**: 0 kJ/mol of formula units

Cell: 5.4648 5.4648 5.4648 Å, 60.00 60.00 60.00°
Closest atoms and distances in Å follow each position.
Element x y z (fractional)
Te 0.0000 0.0000 0.0000  4 Sr 3.35
Sr 0.7500 0.7500 0.7500  4 Hg 3.35, 4 Te 3.35
Hg 0.5000 0.5000 0.5000  4 Sr 3.35

---

[7]
The following is a DFT calculation (PBE) of MoP2Br after structural relaxation.

**Formation energy (no corrections)**: 0.908 eV/atom
**Space-group type**: P4/mmm
**Excess energy over the best structure of this formula in the dataset**: 395 kJ/mol of formula units

Cell: 5.1620 3.7164 3.7164 Å, 90.00 90.00 90.00°
Closest atoms and distances in Å follow each position.
Element x y z (fractional)
P 0.0000 0.0000 0.0000  4 P 2.63
Br 0.5000 0.5000 0.0000  4 Mo 2.63
Mo 0.5000 0.0000 0.5000  4 Br 2.63
P 0.0000 0.5000 0.5000  4 P 2.63

---

[8]
The following is a DFT calculation (PBE) of Na4Np3AlS8 after structural relaxation.

**Formation energy (no corrections)**: -1.250 eV/atom
**Space-group type**: R-3m

Cell: 7.8916 8.0371 7.8924 Å, 119.43 120.00 90.00°
Closest atoms and distances in Å follow each position.
Element x y z (fractional)
S 0.7432 0.7295 0.4864  3 Np 2.74, 3 Na 2.90
Na 0.5000 0.0000 0.0000  6 S 3.09
Na 0.0000 0.0000 0.5000  6 S 2.89-2.90
S 0.2568 0.2705 0.5136  3 Np 2.74, 3 Na 2.90
Np 0.5000 0.5000 0.5000  6 S 2.74-2.76
S 0.7636 0.7152 0.9895  1 Al 2.54, 2 Np 2.76
S 0.2261 0.7155 0.4523  1 Al 2.55, 2 Np 2.76
S 0.2259 0.7152 0.9895  1 Al 2.54, 2 Np 2.76
S 0.2364 0.2848 0.0105  1 Al 2.54, 2 Np 2.76
Al 0.0000 0.5000 0.0000  6 S 2.54-2.55
S 0.7741 0.2848 0.0105  1 Al 2.54, 2 Np 2.76
S 0.7739 0.2845 0.5477  1 Al 2.55, 2 Np 2.76
Np 0.0000 0.5000 0.5000  6 S 2.74-2.76
Np 0.5000 0.5000 0.0000  6 S 2.74-2.76
Na 0.0000 0.0000 0.0000  6 S 2.90
Na 0.5000 0.0000 0.5000  6 S 2.89-2.90

---

[9]
The following is a DFT calculation (PBE) of CaBeW after structural relaxation.

**Space-group type**: Imm2
**Excess energy over the best structure of this formula in the dataset**: 0 kJ/mol of formula units

Cell: 5.9310 5.9310 5.9310 Å, 152.69 145.59 44.47°
Closest atoms and distances in Å follow each position.
Element x y z (fractional)
Ca 0.6618 0.6618 0.0000  2 Ca 2.80, 4 Be 3.13
W 0.3754 0.3754 0.0000  4 Be 2.44
Be 0.9628 0.9628 0.0000  4 W 2.44

---

[10]
The following is a DFT calculation (PBE) of BaTlRe2O8 after structural relaxation.

**Formation energy (no corrections)**: -1.767 eV/atom
**Space-group type**: P-3m1

Cell: 6.2030 6.2030 8.4472 Å, 90.00 90.00 120.00°
Closest atoms and distances in Å follow each position.
Element x y z (fractional)
O 0.8252 0.1751 0.2432  1 Re 1.78
O 0.1751 0.3500 0.7568  1 Re 1.78
Re 0.3333 0.6667 0.8201  4 O 1.77-1.78
O 0.6667 0.3333 0.9703  1 Re 1.77
O 0.8249 0.6500 0.2432  1 Re 1.78
Ba 0.0000 0.0000 0.0000  6 O 2.78
O 0.6500 0.8252 0.7568  1 Re 1.78
O 0.3500 0.1748 0.2432  1 Re 1.78
Re 0.6667 0.3333 0.1799  4 O 1.77-1.78
O 0.1748 0.8249 0.7568  1 Re 1.78
O 0.3333 0.6667 0.0297  1 Re 1.77
Tl 0.0000 0.0000 0.5000  6 O 2.87

---

[11]
The following is a DFT calculation (PBE) of MnZnRh6 after structural relaxation.

**Space-group type**: P4/mmm

Cell: 3.8158 5.4137 5.4137 Å, 90.03 90.00 90.00°
Closest atoms and distances in Å follow each position.
Element x y z (fractional)
Rh 0.0000 0.2524 0.7476  8 Rh 2.68-2.73, 2 Mn 2.69, 2 Zn 2.72
Rh 0.0000 0.7476 0.2524  8 Rh 2.68-2.73, 2 Mn 2.69, 2 Zn 2.72
Rh 0.0000 0.2521 0.2521  8 Rh 2.68-2.73, 2 Mn 2.69, 2 Zn 2.71
Rh 0.5000 0.0000 0.5000  8 Rh 2.70, 2 Zn 2.71, 2 Mn 2.71
Rh 0.5000 0.5000 0.0000  8 Rh 2.70, 2 Mn 2.71, 2 Zn 2.71
Zn 0.5000 0.0000 0.0000  12 Rh 2.71-2.72
Rh 0.0000 0.7479 0.7479  8 Rh 2.68-2.73, 2 Mn 2.69, 2 Zn 2.71
Mn 0.5000 0.5000 0.5000  12 Rh 2.69-2.71

---

[12]
The following is a DFT calculation (PBE) of RbErGe2I8 after structural relaxation.

**Formation energy (no corrections)**: -0.804 eV/atom
**Space-group type**: P-1

Cell: 7.8773 7.2201 10.5228 Å, 91.81 88.36 83.64°
Closest atoms and distances in Å follow each position.
Element x y z (fractional)
I 0.1419 0.7331 0.7842  1 Ge 2.98, 1 Er 3.04
I 0.6309 0.7401 0.4178  1 Ge 2.66
Er 0.0000 0.0000 0.0000  6 I 2.97-3.07
I 0.8198 0.2279 0.8039  1 Er 2.97, 1 Ge 3.23
I 0.3691 0.2599 0.5822  1 Ge 2.66
I 0.8581 0.2669 0.2158  1 Ge 2.98, 1 Er 3.04
Rb 0.0000 0.0000 0.5000  6 I 3.72-3.74
I 0.3095 0.2242 0.9884  1 Ge 2.80, 1 Er 3.07
I 0.1802 0.7721 0.1961  1 Er 2.97, 1 Ge 3.23
I 0.6905 0.7758 0.0116  1 Ge 2.80, 1 Er 3.07
Ge 0.5636 0.5628 0.2027  2 I 2.66-2.80
Ge 0.4364 0.4372 0.7973  2 I 2.66-2.80

---

[13]
The following is a DFT calculation (PBE) of MnHg2Rh after structural relaxation.

**Space-group type**: P4/mmm
**Excess energy over the best structure of this formula in the dataset**: 49 kJ/mol of formula units

Cell: 3.4618 3.4618 5.9390 Å, 90.00 90.00 90.00°
Closest atoms and distances in Å follow each position.
Element x y z (fractional)
Mn 0.5000 0.5000 0.2500  8 Hg 2.87, 2 Rh 2.97
Hg 0.0000 0.0000 0.9989  4 Rh 2.86, 4 Mn 2.87, 2 Hg 2.96-2.98
Rh 0.5000 0.5000 0.7500  8 Hg 2.86, 2 Mn 2.97
Hg 0.0000 0.0000 0.5011  4 Rh 2.86, 4 Mn 2.87, 2 Hg 2.96-2.98

---

[14]
The following is a DFT calculation (PBE) of LiCrCu2 after structural relaxation.

**Space-group type**: Fm-3m
**Excess energy over the best structure of this formula in the dataset**: 28 kJ/mol of formula units

Cell: 4.2219 4.2219 4.2219 Å, 60.00 60.00 60.00°
Closest atoms and distances in Å follow each position.
Element x y z (fractional)
Cu 0.2500 0.2500 0.2500  4 Cr 2.59, 4 Li 2.59
Li 0.0000 0.0000 0.0000  8 Cu 2.59
Cr 0.5000 0.5000 0.5000  8 Cu 2.59
Cu 0.7500 0.7500 0.7500  4 Cr 2.59, 4 Li 2.59

---

[15]
The following is a DFT calculation (PBE) of BeAg2Pt after structural relaxation.

**Space-group type**: Imm2

Cell: 5.2700 5.2700 5.2700 Å, 148.17 128.22 62.08°
Closest atoms and distances in Å follow each position.
Element x y z (fractional)
Ag 0.0048 0.0048 0.0000  4 Be 2.72, 6 Ag 2.89-3.03, 4 Pt 2.96-3.02
Be 0.4875 0.4875 0.0000  2 Pt 2.24, 2 Ag 2.47
Pt 0.2983 0.7983 0.5000  2 Be 2.24
Ag 0.7095 0.2095 0.5000  2 Be 2.47

---

[16]
The following is a DFT calculation (PBE) of NiAsS2N after structural relaxation.

**Formation energy (no corrections)**: 1.152 eV/atom
**Space-group type**: P4/mmm
**Excess energy over the best structure of this formula in the dataset**: 230 kJ/mol of formula units

Cell: 4.7846 4.7846 3.6037 Å, 90.00 90.00 90.00°
Closest atoms and distances in Å follow each position.
Element x y z (fractional)
S 0.5000 0.0000 0.0000  2 As 2.39
N 0.0000 0.0000 0.5000  2 As 1.80
Ni 0.5000 0.5000 0.5000  8 S 2.99
S 0.0000 0.5000 0.0000  2 As 2.39
As 0.0000 0.0000 0.0000  2 N 1.80

---

[17]
The following is a DFT calculation (PBE) of PrHo7 after structural relaxation.

**Space-group type**: Fm-3m

Cell: 7.0830 7.0830 7.0830 Å, 60.00 60.00 60.00°
Closest atoms and distances in Å follow each position.
Element x y z (fractional)
Ho 0.5000 0.5000 0.0000  10 Ho 3.54, 2 Pr 3.54
Ho 0.0000 0.5000 0.0000  10 Ho 3.54, 2 Pr 3.54
Ho 0.5000 0.0000 0.5000  2 Pr 3.54, 10 Ho 3.54
Ho 0.0000 0.5000 0.5000  10 Ho 3.54, 2 Pr 3.54
Ho 0.0000 0.0000 0.5000  2 Pr 3.54, 10 Ho 3.54
Ho 0.5000 0.0000 0.0000  10 Ho 3.54, 2 Pr 3.54
Pr 0.0000 0.0000 0.0000  12 Ho 3.54
Ho 0.5000 0.5000 0.5000  12 Ho 3.54

---

[18]
The following is a DFT calculation (PBE) of ScAlTc2 after structural relaxation.

**Space-group type**: P4/mmm
**Excess energy over the best structure of this formula in the dataset**: 28 kJ/mol of formula units

Cell: 3.3172 3.3185 5.8968 Å, 90.00 90.00 90.00°
Closest atoms and distances in Å follow each position.
Element x y z (fractional)
Tc 0.0000 0.0000 0.0416  1 Tc 2.46, 4 Al 2.65
Tc 0.0000 0.0000 0.4584  1 Tc 2.46, 4 Al 2.65
Al 0.5000 0.5000 0.2500  8 Tc 2.65, 2 Sc 2.95
Sc 0.5000 0.5000 0.7500  8 Tc 2.91, 2 Al 2.95

---

[19]
The following is a DFT calculation (PBE) of CePrReN4 after structural relaxation.

**Formation energy (no corrections)**: -0.957 eV/atom
**Space-group type**: Cmcm

Cell: 5.4788 5.5149 6.9029 Å, 90.00 113.38 90.00°
Closest atoms and distances in Å follow each position.
Element x y z (fractional)
Pr 0.3972 0.2500 0.7944  1 N 2.35
N 0.9279 0.2500 0.8558  1 Ce 2.20, 1 Re 2.32
Re 0.2554 0.7500 0.5108  5 N 1.94-2.05
N 0.0000 0.0000 0.5000  2 Re 1.94
Re 0.7446 0.2500 0.4892  5 N 1.94-2.05
N 0.5000 0.0000 0.5000  2 Re 1.94
N 0.5830 0.2500 0.1661  1 Re 2.05
N 0.0000 0.5000 0.5000  2 Re 1.94
Ce 0.8986 0.7500 0.7972  1 N 2.20
Pr 0.6028 0.7500 0.2056  1 N 2.35
N 0.4170 0.7500 0.8339  1 Re 2.05
N 0.0721 0.7500 0.1442  1 Ce 2.20, 1 Re 2.32
N 0.5000 0.5000 0.5000  2 Re 1.94
Ce 0.1014 0.2500 0.2028  1 N 2.20

---

[20]
The following is a DFT calculation (PBE) of SbMoPt2 after structural relaxation.

**Formation energy (no corrections)**: -0.036 eV/atom
**Space-group type**: Cm

Cell: 4.7345 4.7345 5.2094 Å, 78.80 78.80 37.64°
Closest atoms and distances in Å follow each position.
Element x y z (fractional)
Pt 0.2480 0.2480 0.2360  5 Pt 2.77-3.05, 2 Mo 2.78, 3 Sb 2.81-2.83
Sb 0.4982 0.4982 0.4920  7 Pt 2.81-3.05, 3 Mo 2.88-2.98, 2 Sb 3.05
Mo 0.7497 0.7497 0.7888  5 Pt 2.68-2.78, 3 Sb 2.88-2.98
Pt 0.0041 0.0041 0.9833  3 Mo 2.68-2.70, 3 Pt 2.77-2.84, 2 Sb 2.99

---

no.,VASP energy (eV per atom),total moment (μB/f.u.)
1,-2.98,0.00
2,-3.35,0.00
3,-2.01,0.00
4,-6.55,0.00
5,-5.61,0.00
6,-2.67,0.00
7,-4.92,2.25
8,-6.30,11.91
9,-5.60,0.00
10,-7.50,1.10
11,-6.93,2.24
12,-3.07,0.00
13,-4.07,4.12
14,-4.69,3.80
15,-3.95,0.00
16,-4.25,2.53
17,-4.58,0.00
18,-7.94,0.00
19,-9.02,0.00
20,-6.79,0.00